# YS3Cl

Crystalline YS3Cl at its relaxed geometry (PBE-GGA, the Alexandria database).

```
YS3Cl
1.0
-2.5764 -0.1669 4.6763
-3.0038 -4.0342 -1.7988
3.5879 -3.4972 1.8519
S Cl Y
3 1 1
Cartesian
-1.5019 -2.0171 -0.8994 S
1.7940 -1.7486 0.9260 S
-1.2882 -0.0834 2.3382 S
-0.9961 -3.8491 2.3647 Cl
0.0000 0.0000 0.0000 Y
```

Results
Raw total energy ... -4.24 eV/atom
Formation energy without anion corrections ... -0.103 eV per atom